The following is a DFT calculation (GGA-PBE) of a relaxed Ba2HfUSe6 crystal.

Cell lengths 7.5838, 10.7246, 7.5834 Å; angles 90.00, 90.00, 90.00 degrees
With the nearest neighbours (Å) after each atom.
Space group Pmmn (No. 59, origin choice 2)
Inequivalent atoms, fractional coordinates:
Ba  0.2500  0.0009  0.2453 (multiplicity 4)  12 Se 3.74-3.85
Hf  0.2500  0.2500  0.7509 (multiplicity 2)  6 Se 2.63
U  0.2500  0.7500  0.7483 (multiplicity 2)  6 Se 2.73-2.74
Se  0.0048  0.2500  0.5065 (multiplicity 4)  1 Hf 2.63, 1 U 2.73
Se  0.0053  0.2500  0.9965 (multiplicity 4)  1 Hf 2.63, 1 U 2.74
Se  0.2500  0.0051  0.7525 (multiplicity 4)  1 Hf 2.63, 1 U 2.74

Results
- E: -6.122 eV/atom
- Density: 6.27 g cm⁻³
- Crystal system: orthorhombic


The following is a DFT calculation (GGA-PBE) of a relaxed RbInRe3 crystal.

Cell lengths 4.7617, 4.7617, 4.7617 Å; angles 90.00, 90.00, 90.00 degrees
With the nearest neighbours (Å) after each atom.
Space group Pm-3m (No. 221)
Inequivalent atoms, fractional coordinates:
Rb  0.0000  0.0000  0.0000 (multiplicity 1)  6 Re 2.38
In  0.5000  0.5000  0.5000 (multiplicity 1)  12 Re 3.37
Re  0.0000  0.0000  0.5000 (multiplicity 3)  2 Rb 2.38

Results
- E: -4.306 eV/atom
- Density: 11.67 g cm⁻³
- Crystal system: cubic
- E above lowest polymorph: 4.41 eV/f.u.
- Energy of formation from the pure elements: 3.904 eV/atom


The following is a DFT calculation (GGA-PBE) of a relaxed VTc2Mo crystal.

Cell lengths 3.0653, 3.0653, 6.2006 Å; angles 90.00, 90.00, 90.00 degrees
With the nearest neighbours (Å) after each atom.
Space group P4/mmm (No. 123)
Inequivalent atoms, fractional coordinates:
V  0.0000  0.0000  0.0000 (multiplicity 1)  8 Tc 2.62
Tc  0.5000  0.5000  0.2387 (multiplicity 2)  4 V 2.62, 4 Mo 2.71
Mo  0.0000  0.0000  0.5000 (multiplicity 1)  8 Tc 2.71

Results
- E: -10.333 eV/atom
- Density: 9.77 g cm⁻³
- Crystal system: tetragonal
- Energy of formation from the pure elements: -0.163 eV/atom


The following is a DFT calculation (GGA-PBE) of a relaxed BaP2 crystal.

Cell lengths 5.3347, 5.3347, 6.3747 Å; angles 90.00, 90.00, 120.00 degrees
With the nearest neighbours (Å) after each atom.
Space group P6_3/mmc (No. 194)
Inequivalent atoms, fractional coordinates:
Ba  0.3333  0.6667  0.2500 (multiplicity 2)  5 P 3.08-3.19
P  0.0000  0.0000  0.0000 (multiplicity 2)  8 P 3.19-3.47, 6 Ba 3.47
P  0.3333  0.6667  0.7500 (multiplicity 2)  5 Ba 3.08-3.19

Results
- E: -4.156 eV/atom
- Density: 4.21 g cm⁻³
- Crystal system: hexagonal
- Energy of formation from the pure elements: 0.091 eV/atom


Which of these has the lowest density? BaP2